Record 1
HfHg2Pt: optimized geometry, GGA-PBE.

a b c (Å): 4.7676 4.7676 4.7676
angles (deg): 60.00 60.00 60.00
Positions (direct):
Hg1 0.7500 0.7500 0.7500
Hg2 0.2500 0.2500 0.2500
Pt1 0.5000 0.5000 0.5000
Hf1 0.0000 0.0000 0.0000

E_form, meV per atom: -125
V, Å³ per cell: 76.6
DOS at the Fermi energy, states/eV per cell: 1.395
Calculated total energy, eV/atom: -4.274

Record 2
Hf6HgPt: optimized geometry, GGA-PBE.

a b c (Å): 7.7374 7.7281 5.4694
angles (deg): 45.02 44.98 60.00
Positions (direct):
Hf1 0.0004 0.5008 0.2531
Hf2 0.7542 0.0000 0.7449
Hf3 0.5000 0.7542 0.7458
Hf4 0.9996 0.4992 0.7469
Hf5 0.2458 0.0000 0.2551
Hf6 0.5000 0.2458 0.2542
Hg1 0.5000 0.5000 0.5000
Pt1 0.0000 0.0000 0.0000

E_form, meV per atom: -284
V, Å³ per cell: 163.5
DOS at the Fermi energy, states/eV per cell: 8.638
Calculated total energy, eV/atom: -8.542

Record 3
Hf2Hg2Pt: optimized geometry, GGA-PBE.

a b c (Å): 7.1882 7.1882 3.9679
angles (deg): 90.00 90.00 90.00
Positions (direct):
Pt1 0.0000 0.0000 0.0000
Pt2 0.5000 0.5000 0.0000
Hf1 0.6685 0.8315 0.5000
Hf2 0.1685 0.6685 0.5000
Hf3 0.8315 0.3315 0.5000
Hf4 0.3315 0.1685 0.5000
Hg1 0.3631 0.8631 0.0000
Hg2 0.8631 0.6369 0.0000
Hg3 0.1369 0.3631 0.0000
Hg4 0.6369 0.1369 0.0000

E_form, meV per atom: -76
V, Å³ per cell: 205.0
DOS at the Fermi energy, states/eV per cell: 6.422
Calculated total energy, eV/atom: -5.387

Record 4
HfHg2Pt: optimized geometry, GGA-PBE.

a b c (Å): 7.8805 7.8805 6.2322
angles (deg): 50.78 50.78 90.00
Positions (direct):
Pt1 0.7500 0.2500 0.5000
Pt2 0.0000 0.0000 0.0000
Hg1 0.3750 0.3605 0.7500
Hg2 0.1105 0.6250 0.2500
Hg3 0.8750 0.8895 0.7500
Hg4 0.6395 0.1250 0.2500
Hf1 0.5000 0.5000 0.0000
Hf2 0.2500 0.7500 0.5000

E_form, meV per atom: 114
V, Å³ per cell: 173.3
DOS at the Fermi energy, states/eV per cell: 6.726
Calculated total energy, eV/atom: -4.035

Record 5
HfHg3Pt: optimized geometry, GGA-PBE.

a b c (Å): 5.1253 5.1253 5.1253
angles (deg): 90.00 90.00 90.00
Positions (direct):
Hg1 0.5000 0.0000 0.0000
Hg2 0.0000 0.0000 0.5000
Hg3 0.0000 0.5000 0.0000
Pt1 0.0000 0.0000 0.0000
Hf1 0.5000 0.5000 0.5000

E_form, meV per atom: 716
V, Å³ per cell: 134.6
DOS at the Fermi energy, states/eV per cell: 6.055
Calculated total energy, eV/atom: -2.664

Record 6
Hf2HgPt9: optimized geometry, GGA-PBE.

a b c (Å): 4.0349 4.0349 12.1974
angles (deg): 90.00 90.00 90.00
Positions (direct):
Pt1 0.5000 0.5000 0.6633
Pt2 0.5000 0.5000 0.0000
Pt3 0.0000 0.5000 0.8250
Pt4 0.0000 0.5000 0.5000
Pt5 0.0000 0.5000 0.1750
Pt6 0.5000 0.5000 0.3367
Pt7 0.5000 0.0000 0.1750
Pt8 0.5000 0.0000 0.5000
Pt9 0.5000 0.0000 0.8250
Hf1 0.0000 0.0000 0.3310
Hf2 0.0000 0.0000 0.6690
Hg1 0.0000 0.0000 0.0000

E_form, meV per atom: -770
V, Å³ per cell: 198.6
DOS at the Fermi energy, states/eV per cell: 10.316
Calculated total energy, eV/atom: -6.984

Record 7
Hf6Hg3Pt: optimized geometry, GGA-PBE.

a b c (Å): 7.6183 5.8292 5.8292
angles (deg): 62.90 75.17 75.17
Positions (direct):
Hf1 0.6851 0.8820 0.3970
Hf2 0.3149 0.6030 0.1180
Hf3 0.0686 0.6387 0.6387
Hf4 0.3149 0.1180 0.6030
Hf5 0.9314 0.3613 0.3613
Hf6 0.6851 0.3970 0.8820
Hg1 0.3132 0.1168 0.1168
Hg2 0.0000 0.0000 0.0000
Hg3 0.6868 0.8832 0.8832
Pt1 0.5000 0.5000 0.5000

E_form, meV per atom: 46
V, Å³ per cell: 219.8
DOS at the Fermi energy, states/eV per cell: 10.305
Calculated total energy, eV/atom: -6.621

Record 8
RbHfHg2Pt: optimized geometry, GGA-PBE.

a b c (Å): 5.4376 5.0908 5.4376
angles (deg): 90.00 90.00 90.00
Positions (direct):
Pt1 0.0000 0.0000 0.0000
Hg1 0.0000 0.0000 0.5000
Hg2 0.5000 0.0000 0.0000
Hf1 0.0000 0.5000 0.0000
Rb1 0.5000 0.5000 0.5000

E_form, meV per atom: 119
V, Å³ per cell: 150.5
DOS at the Fermi energy, states/eV per cell: 4.388
Calculated total energy, eV/atom: -3.394

Record 9
HfSnHgPt2: optimized geometry, GGA-PBE.

a b c (Å): 4.9931 5.0783 4.9931
angles (deg): 90.00 90.00 90.00
Positions (direct):
Hg1 0.0000 0.0000 0.0000
Pt1 0.0000 0.0000 0.5000
Pt2 0.5000 0.0000 0.0000
Hf1 0.5000 0.5000 0.5000
Sn1 0.0000 0.5000 0.0000

E_form, meV per atom: 1004
V, Å³ per cell: 126.6
DOS at the Fermi energy, states/eV per cell: 3.605
Calculated total energy, eV/atom: -4.264

Record 10
HfHgPtW2: optimized geometry, GGA-PBE.

a b c (Å): 4.8645 4.8968 4.8645
angles (deg): 90.00 90.00 90.00
Positions (direct):
W1 0.5000 0.0000 0.0000
W2 0.0000 0.0000 0.5000
Hg1 0.5000 0.5000 0.5000
Hf1 0.0000 0.0000 0.0000
Pt1 0.0000 0.5000 0.0000

E_form, meV per atom: 1992
V, Å³ per cell: 115.9
DOS at the Fermi energy, states/eV per cell: 5.516
Calculated total energy, eV/atom: -6.449

Record 11
Pu2HfHg: optimized geometry, GGA-PBE.

a b c (Å): 4.9870 4.3231 4.3231
angles (deg): 90.00 90.00 90.00
Positions (direct):
Pu1 0.0000 0.5000 0.0000
Pu2 0.0000 0.0000 0.5000
Hf1 0.5000 0.0000 0.0000
Hg1 0.5000 0.5000 0.5000

E_form, meV per atom: 67
V, Å³ per cell: 93.2
DOS at the Fermi energy, states/eV per cell: 9.708
Calculated total energy, eV/atom: -9.663

Record 12
Rb2HfHg: optimized geometry, GGA-PBE.

a b c (Å): 12.9598 12.9598 9.5631
angles (deg): 47.34 47.34 90.00
Positions (direct):
Hg1 0.7500 0.2500 0.5000
Hg2 0.0000 0.0000 0.0000
Rb1 0.3750 0.2294 0.7500
Rb2 0.7706 0.1250 0.2500
Rb3 0.9794 0.6250 0.2500
Rb4 0.8750 0.0206 0.7500
Hf1 0.5000 0.5000 0.0000
Hf2 0.2500 0.7500 0.5000

E_form, meV per atom: 840
V, Å³ per cell: 459.2
DOS at the Fermi energy, states/eV per cell: 9.571
Calculated total energy, eV/atom: -2.207

Look up the calculated total energy of the second one.
-8.542 eV/atom

Repeat the tenth record exactly.
HfHgPtW2: optimized geometry, GGA-PBE.

a b c (Å): 4.8645 4.8968 4.8645
angles (deg): 90.00 90.00 90.00
Positions (direct):
W1 0.5000 0.0000 0.0000
W2 0.0000 0.0000 0.5000
Hg1 0.5000 0.5000 0.5000
Hf1 0.0000 0.0000 0.0000
Pt1 0.0000 0.5000 0.0000

E_form, meV per atom: 1992
V, Å³ per cell: 115.9
DOS at the Fermi energy, states/eV per cell: 5.516
Calculated total energy, eV/atom: -6.449